A plane-wave DFT calculation with PBE-GGA was carried out for a relaxed LiSiAs2Pd crystal.

The structure in POSCAR format:
```
LiSiAs2Pd
1.0
4.487 0.000 0.000
0.000 4.487 0.000
0.000 0.000 4.410
Li Si As Pd
1 1 2 1
Direct
0.000 0.000 0.000
0.500 0.500 0.500
0.000 0.500 0.000
0.500 0.000 0.000
0.000 0.000 0.500
```

Summary:
Magnetic moment, Bohr magnetons per cell: 0.0
DFT total energy, eV/cell: -19.1
DOS at the Fermi energy, states/eV/f.u.: 2.363

---

A plane-wave DFT calculation with PBE-GGA was carried out for a relaxed Sm3AlIn3 crystal.

The structure in POSCAR format:
```
Sm3AlIn3
1.0
5.777 -2.325 0.000
5.777 2.325 0.000
-4.912 0.000 14.398
Sm Al In
6 2 6
Direct
0.025 0.025 0.381
0.104 0.104 0.922
0.236 0.236 0.226
0.764 0.764 0.774
0.896 0.896 0.078
0.975 0.975 0.619
0.265 0.265 0.620
0.735 0.735 0.380
0.358 0.358 0.458
0.383 0.383 0.925
0.482 0.482 0.769
0.518 0.518 0.231
0.617 0.617 0.075
0.642 0.642 0.542
```

Summary:
Magnetic moment, Bohr magnetons per cell: 0.0
Formation energy from the elements, eV/f.u.: -3.14
DFT total energy, eV/cell: -58.5
DOS at the Fermi energy, states/eV/f.u.: 6.978

---

A plane-wave DFT calculation with PBE-GGA was carried out for a relaxed Cr2ReOs crystal.

The structure in POSCAR format:
```
Cr2ReOs
1.0
2.696 0.000 0.000
0.000 3.741 0.000
0.000 0.000 5.312
Cr Re Os
2 1 1
Direct
0.000 0.000 0.000
0.500 0.500 0.239
0.500 0.500 0.754
0.000 0.000 0.477
```

Summary:
Magnetic moment, Bohr magnetons per cell: 0.0
Formation energy from the elements, eV/f.u.: 0.61
DFT total energy, eV/cell: -42.3
DOS at the Fermi energy, states/eV/f.u.: 3.675

---

A plane-wave DFT calculation with PBE-GGA was carried out for a relaxed PtAuC2 crystal.

The structure in POSCAR format:
```
PtAuC2
1.0
0.000 2.881 2.881
2.881 0.000 2.881
2.881 2.881 0.000
Pt Au C
1 1 2
Direct
0.000 0.000 0.000
0.500 0.500 0.500
0.250 0.250 0.250
0.750 0.750 0.750
```

Summary:
Magnetic moment, Bohr magnetons per cell: 0.0
Formation energy from the elements, eV/f.u.: 8.91
DFT total energy, eV/cell: -18.9
DOS at the Fermi energy, states/eV/f.u.: 2.977

---

A plane-wave DFT calculation with PBE-GGA was carried out for a relaxed PCBr2 crystal.

The structure in POSCAR format:
```
PCBr2
1.0
0.000 4.981 4.981
4.981 0.000 4.981
4.981 4.981 0.000
P C Br
2 2 4
Direct
0.125 0.125 0.125
0.875 0.875 0.875
0.375 0.375 0.375
0.625 0.625 0.625
0.000 0.500 0.500
0.500 0.000 0.500
0.500 0.500 0.000
0.500 0.500 0.500
```

Summary:
Magnetic moment, Bohr magnetons per cell: 6.0
DFT total energy, eV/cell: -22.0
DOS at the Fermi energy, states/eV/f.u.: 0.665

---

A plane-wave DFT calculation with PBE-GGA was carried out for a relaxed ScCoSi3Ni crystal.

The structure in POSCAR format:
```
ScCoSi3Ni
1.0
2.659 -6.988 0.000
2.659 6.988 0.000
0.000 0.000 5.291
Sc Co Si Ni
2 2 6 2
Direct
0.176 0.824 0.750
0.824 0.176 0.250
0.097 0.903 0.250
0.903 0.097 0.750
0.238 0.238 0.000
0.238 0.238 0.500
0.252 0.748 0.250
0.748 0.252 0.750
0.762 0.762 0.000
0.762 0.762 0.500
0.410 0.590 0.250
0.590 0.410 0.750
```

Summary:
Magnetic moment, Bohr magnetons per cell: 0.0
DFT total energy, eV/cell: -74.9
DOS at the Fermi energy, states/eV/f.u.: 3.437

---

A plane-wave DFT calculation with PBE-GGA was carried out for a relaxed TiHS crystal.

The structure in POSCAR format:
```
TiHS
1.0
1.643 0.949 8.671
-1.643 0.949 8.671
0.000 -1.897 8.671
Ti H S
2 2 2
Direct
0.119 0.119 0.119
0.881 0.881 0.881
0.191 0.191 0.191
0.809 0.809 0.809
0.396 0.396 0.396
0.604 0.604 0.604
```

Summary:
Magnetic moment, Bohr magnetons per cell: 0.0
DFT total energy, eV/cell: -36.4
DOS at the Fermi energy, states/eV/f.u.: 0.702

---

A plane-wave DFT calculation with PBE-GGA was carried out for a relaxed Cu2MoPb crystal.

The structure in POSCAR format:
```
Cu2MoPb
1.0
2.977 0.000 0.000
0.000 2.977 0.000
0.000 0.000 7.833
Cu Mo Pb
2 1 1
Direct
0.000 0.000 0.211
0.000 0.000 0.789
0.500 0.500 0.000
0.500 0.500 0.500
```

Summary:
Magnetic moment, Bohr magnetons per cell: 0.0
Formation energy from the elements, eV/f.u.: 1.90
DFT total energy, eV/cell: -20.8
DOS at the Fermi energy, states/eV/f.u.: 2.189

---

Q: magnetic moment of number 6 (ScCoSi3Ni)?
A: 0.0 Bohr magnetons per cell

---

Q: What is the formula in the fourth record?
A: PtAuC2

---

Q: Look up the magnetic moment of the eighth one.
A: 0.0 Bohr magnetons per cell